#P
SrCaAg6 after structural relaxation, computed with PBE.

Cell: 4.8514 5.8128 6.5393 Å, 90.00 90.00 90.00°
Closest atoms and distances in Å follow each position.
Sites, in units of the cell vectors:
Sr 0.0000 0.6457 0.0000  12 Ag 3.29-3.42
Ca 0.5000 0.3647 0.5000  12 Ag 3.20-3.36
Ag 0.5000 0.8630 0.2850  6 Ag 2.81-2.96
Ag 0.0000 0.1508 0.7574  6 Ag 2.93-3.17, 2 Ca 3.20, 1 Sr 3.29
Ag 0.0000 0.1508 0.2426  6 Ag 2.93-3.17, 2 Ca 3.20, 1 Sr 3.29
Ag 0.5000 0.8630 0.7150  6 Ag 2.81-2.96
Ag 0.0000 0.7319 0.5000  6 Ag 2.91-2.96, 2 Ca 3.23
Ag 0.5000 0.2300 0.0000  6 Ag 2.83-2.93

Computed properties:
Mass density, kg/m³: 6978
Crystal system: orthorhombic

---

#Q
SrCaAg6 after structural relaxation, computed with PBE.

Cell: 5.6346 5.6346 5.6346 Å, 90.00 90.00 90.00°
Closest atoms and distances in Å follow each position.
Sites, in units of the cell vectors:
Sr 0.5000 0.5000 0.5000  12 Ag 3.16
Ca 0.0000 0.0000 0.0000  12 Ag 3.14
Ag 0.5000 0.7532 0.0000  2 Ag 2.78-2.85
Ag 0.7532 0.0000 0.5000  2 Ag 2.78-2.85
Ag 0.0000 0.5000 0.2468  2 Ag 2.78-2.85
Ag 0.2468 0.0000 0.5000  2 Ag 2.78-2.85
Ag 0.5000 0.2468 0.0000  2 Ag 2.78-2.85
Ag 0.0000 0.5000 0.7532  2 Ag 2.78-2.85

Computed properties:
Mass density, kg/m³: 7193
Crystal system: cubic

---

Relative energies with respect to the most stable structure, expressed in eV/atom: #P 0.000; #Q 0.077.

---

#P
SrCa4Ag after structural relaxation, computed with PBE.

Cell: 7.0920 7.0920 7.0920 Å, 60.00 60.00 60.00°
Closest atoms and distances in Å follow each position.
Sites, in units of the cell vectors:
Sr 0.7500 0.7500 0.7500  12 Ca 4.16, 4 Ag 4.34
Ca 0.8753 0.3749 0.3749  6 Ca 3.54-3.55
Ca 0.3749 0.3749 0.8753  6 Ca 3.54-3.55
Ca 0.3749 0.8753 0.3749  6 Ca 3.54-3.55
Ca 0.3749 0.3749 0.3749  6 Ca 3.54-3.55
Ag 0.0000 0.0000 0.0000  12 Ca 4.16, 4 Sr 4.34

Computed properties:
Mass density, kg/m³: 2342
Crystal system: cubic

---

#Q
SrCa4Ag after structural relaxation, computed with PBE.

Cell: 6.2401 7.4842 10.4348 Å, 90.00 99.49 90.00°
Closest atoms and distances in Å follow each position.
Sites, in units of the cell vectors:
Sr 0.2681 0.7500 0.5561  11 Ca 3.97-4.32
Sr 0.7319 0.2500 0.4439  11 Ca 3.97-4.32
Ca 0.6945 0.7500 0.2995  1 Ag 3.13
Ca 0.3055 0.2500 0.7005  1 Ag 3.13
Ca 0.3579 0.7500 0.9413  2 Ag 3.14-3.38
Ca 0.6421 0.2500 0.0587  2 Ag 3.14-3.38
Ca 0.1666 0.0087 0.2145  2 Ag 3.12-3.13
Ca 0.8334 0.5087 0.7855  2 Ag 3.12-3.13
Ca 0.1666 0.4913 0.2145  2 Ag 3.12-3.13
Ca 0.8334 0.9913 0.7855  2 Ag 3.12-3.13
Ag 0.8632 0.7500 0.0329  7 Ca 3.12-3.38
Ag 0.1368 0.2500 0.9671  7 Ca 3.12-3.38

Computed properties:
Mass density, kg/m³: 2458
Crystal system: monoclinic

---

Relative energies with respect to the most stable structure, expressed in eV/atom: #P 0.332; #Q 0.000.

---

#P
Sr2Ca2Ag after structural relaxation, computed with PBE.

Cell: 8.0315 8.0315 6.4585 Å, 90.00 90.00 90.00°
Closest atoms and distances in Å follow each position.
Sites, in units of the cell vectors:
Sr 0.1741 0.6741 0.5000  6 Ca 3.75-4.19, 1 Sr 3.95
Sr 0.6741 0.8259 0.5000  6 Ca 3.75-4.19, 1 Sr 3.95
Sr 0.8259 0.3259 0.5000  6 Ca 3.75-4.19, 1 Sr 3.95
Sr 0.3259 0.1741 0.5000  6 Ca 3.75-4.19, 1 Sr 3.95
Ca 0.3414 0.8414 0.0000  2 Ag 3.02
Ca 0.8414 0.6586 0.0000  2 Ag 3.02
Ca 0.6586 0.1586 0.0000  2 Ag 3.02
Ca 0.1586 0.3414 0.0000  2 Ag 3.02
Ag 0.0000 0.0000 0.0000  4 Ca 3.02
Ag 0.5000 0.5000 0.0000  4 Ca 3.02

Computed properties:
Mass density, kg/m³: 2896
Crystal system: tetragonal

---

#Q
Sr2Ca2Ag after structural relaxation, computed with PBE.

Cell: 8.2988 8.2988 6.3418 Å, 90.00 90.00 90.00°
Closest atoms and distances in Å follow each position.
Sites, in units of the cell vectors:
Sr 0.3396 0.8396 0.0000  2 Ag 3.12
Sr 0.8396 0.6604 0.0000  2 Ag 3.12
Sr 0.6604 0.1604 0.0000  2 Ag 3.12
Sr 0.1604 0.3396 0.0000  2 Ag 3.12
Ca 0.1631 0.6631 0.5000  6 Sr 3.79-4.15, 1 Ca 3.83
Ca 0.6631 0.8369 0.5000  6 Sr 3.79-4.15, 1 Ca 3.83
Ca 0.8369 0.3369 0.5000  6 Sr 3.79-4.15, 1 Ca 3.83
Ca 0.3369 0.1631 0.5000  6 Sr 3.79-4.15, 1 Ca 3.83
Ag 0.0000 0.0000 0.0000  4 Sr 3.12
Ag 0.5000 0.5000 0.0000  4 Sr 3.12

Computed properties:
Mass density, kg/m³: 2762
Crystal system: tetragonal

---

Relative energies with respect to the most stable structure, expressed in eV/atom: #P 0.000; #Q 0.089.

---

#P
Sr3CaAg4 after structural relaxation, computed with PBE.

Cell: 5.4801 7.7747 10.9583 Å, 90.00 90.00 90.00°
Closest atoms and distances in Å follow each position.
Sites, in units of the cell vectors:
Sr 0.0000 0.0000 0.0000  8 Ag 3.41
Sr 0.0000 0.0000 0.5000  8 Ag 3.41
Sr 0.5003 0.0000 0.7500  8 Ag 3.41-3.42
Sr 0.4997 0.0000 0.2500  8 Ag 3.41-3.42
Sr 0.5005 0.5000 0.7500  8 Ag 3.31
Sr 0.4995 0.5000 0.2500  8 Ag 3.31
Ca 0.0000 0.5000 0.0000  8 Ag 3.31
Ca 0.0000 0.5000 0.5000  8 Ag 3.31
Ag 0.5000 0.7383 0.0000  6 Sr 3.31-3.41, 2 Ca 3.31
Ag 0.5000 0.7383 0.5000  6 Sr 3.31-3.41, 2 Ca 3.31
Ag 0.5000 0.2617 0.0000  6 Sr 3.31-3.41, 2 Ca 3.31
Ag 0.5000 0.2617 0.5000  6 Sr 3.31-3.41, 2 Ca 3.31
Ag 0.0008 0.7381 0.7500  6 Sr 3.31-3.42, 2 Ca 3.31, 1 Ag 3.70
Ag 0.9992 0.7381 0.2500  6 Sr 3.31-3.42, 2 Ca 3.31, 1 Ag 3.70
Ag 0.9992 0.2619 0.2500  6 Sr 3.31-3.42, 2 Ca 3.31, 1 Ag 3.70
Ag 0.0008 0.2619 0.7500  6 Sr 3.31-3.42, 2 Ca 3.31, 1 Ag 3.70

Computed properties:
Mass density, kg/m³: 5224
Crystal system: tetragonal

---

#Q
Sr3CaAg4 after structural relaxation, computed with PBE.

Cell: 4.7243 6.3412 24.7465 Å, 89.75 90.00 90.00°
Closest atoms and distances in Å follow each position.
Sites, in units of the cell vectors:
Sr 0.0000 0.6359 0.9422  7 Ag 3.33-3.42
Sr 0.5000 0.8968 0.7232  7 Ag 3.35-3.46
Sr 0.5000 0.6033 0.2287  7 Ag 3.35-3.47
Sr 0.0000 0.1022 0.2755  7 Ag 3.35-3.47
Sr 0.0000 0.3940 0.7704  7 Ag 3.36-3.45
Sr 0.5000 0.1313 0.8943  7 Ag 3.36-3.43
Sr 0.5000 0.3594 0.3965  7 Ag 3.30-3.37
Sr 0.0000 0.8649 0.1075  7 Ag 3.30-3.38
Sr 0.0000 0.6396 0.6023  7 Ag 3.30-3.37
Ca 0.5000 0.1398 0.5564  7 Ag 3.21-3.41
Ca 0.5000 0.3622 0.0618  7 Ag 3.25-3.46
Ca 0.0000 0.8595 0.4423  7 Ag 3.21-3.41
Ag 0.5000 0.3878 0.6729  2 Ag 2.90
Ag 0.5000 0.1144 0.1780  2 Ag 2.90
Ag 0.0000 0.6113 0.3261  2 Ag 2.90
Ag 0.0000 0.8877 0.8207  2 Ag 2.91
Ag 0.5000 0.6365 0.8443  2 Ag 2.91
Ag 0.5000 0.8580 0.3517  2 Ag 2.90
Ag 0.0000 0.3615 0.1523  2 Ag 2.90
Ag 0.0000 0.1412 0.6472  2 Ag 2.90
Ag 0.5000 0.6361 0.5090  2 Ag 2.97, 2 Ca 3.21, 3 Sr 3.30
Ag 0.5000 0.8762 0.0143  2 Ag 2.93
Ag 0.0000 0.3633 0.4898  2 Ag 2.97, 2 Ca 3.21, 3 Sr 3.30
Ag 0.0000 0.1372 0.9926  2 Ag 2.93, 2 Ca 3.25

Computed properties:
Mass density, kg/m³: 4935
Crystal system: monoclinic

---

Relative energies with respect to the most stable structure, expressed in eV/atom: #P 0.039; #Q 0.000.

---

#P
SrCaAg3 after structural relaxation, computed with PBE.

Cell: 4.6758 4.0558 14.5316 Å, 98.02 90.00 90.00°
Closest atoms and distances in Å follow each position.
Sites, in units of the cell vectors:
Sr 0.2500 0.0739 0.1478  12 Ag 3.39-3.67
Sr 0.7500 0.9261 0.8522  12 Ag 3.39-3.67
Ca 0.2500 0.7928 0.5855  7 Ag 3.16-3.25
Ca 0.7500 0.2072 0.4145  7 Ag 3.16-3.25
Ag 0.2500 0.3768 0.7537  3 Ag 2.80-2.85
Ag 0.7500 0.6232 0.2463  3 Ag 2.80-2.85
Ag 0.2500 0.4741 0.9482  3 Ag 2.77-2.80
Ag 0.7500 0.5259 0.0518  3 Ag 2.77-2.80
Ag 0.7500 0.3200 0.6400  2 Ag 2.85, 4 Ca 3.19
Ag 0.2500 0.6800 0.3600  2 Ag 2.85, 4 Ca 3.19

Computed properties:
Mass density, kg/m³: 5493
Crystal system: orthorhombic

---

#Q
SrCaAg3 after structural relaxation, computed with PBE.

Cell: 5.4708 5.4708 5.4708 Å, 90.00 90.00 90.00°
Closest atoms and distances in Å follow each position.
Sites, in units of the cell vectors:
Sr 0.5000 0.5000 0.5000  12 Ag 3.87
Ca 0.0000 0.0000 0.0000  6 Ag 2.74
Ag 0.0000 0.5000 0.0000  2 Ca 2.74
Ag 0.0000 0.0000 0.5000  2 Ca 2.74
Ag 0.5000 0.0000 0.0000  2 Ca 2.74

Computed properties:
Mass density, kg/m³: 4577
Crystal system: cubic

---

Relative energies with respect to the most stable structure, expressed in eV/atom: #P 0.000; #Q 0.498.

---

#P
CaTa2Ag after structural relaxation, computed with PBE.

Cell: 5.8809 5.8809 2.8085 Å, 90.00 90.00 122.86°
Closest atoms and distances in Å follow each position.
Sites, in units of the cell vectors:
Ca 0.0000 0.5000 0.5000  2 Ca 2.81, 2 Ag 2.81
Ag 0.5000 0.0000 0.5000  2 Ag 2.81, 2 Ca 2.81
Ta 0.0000 0.0000 0.0000  4 Ta 2.81
Ta 0.5000 0.5000 0.0000  4 Ta 2.81

Computed properties:
Mass density, kg/m³: 10376
Crystal system: orthorhombic

---

#Q
CaTa2Ag after structural relaxation, computed with PBE.

Cell: 2.9584 2.9584 9.7312 Å, 90.00 90.00 104.47°
Closest atoms and distances in Å follow each position.
Sites, in units of the cell vectors:
Ca 0.5000 0.5000 0.7420  4 Ca 2.96, 2 Ag 3.12
Ag 0.0000 0.0000 0.4816  2 Ta 2.91, 4 Ag 2.96, 2 Ca 3.12
Ta 0.0000 0.0000 0.0290  6 Ta 2.79-2.96
Ta 0.5000 0.5000 0.2474  6 Ta 2.79-2.96, 2 Ag 2.91

Computed properties:
Mass density, kg/m³: 10266
Crystal system: orthorhombic

---

Relative energies with respect to the most stable structure, expressed in eV/atom: #P 0.343; #Q 0.000.